The following is a DFT calculation (PBE) of a relaxed structure of Ca4BeZn.

abc: 6.6273 6.6273 6.6273
angles: 60.00 60.00 60.00
Closest atoms and distances in Å follow each position.
Fractional coordinates of all 6 atoms:
Ca: 0.8758 0.3747 0.3747  6 Ca 3.31-3.32
Ca: 0.3747 0.3747 0.3747  6 Ca 3.31-3.32
Ca: 0.3747 0.3747 0.8758  6 Ca 3.31-3.32
Ca: 0.3747 0.8758 0.3747  6 Ca 3.31-3.32
Be: 0.0000 0.0000 0.0000  12 Ca 3.88, 4 Zn 4.06
Zn: 0.7500 0.7500 0.7500  12 Ca 3.89, 4 Be 4.06

Calculated values
Crystal system = cubic
M_tot = 0.0 μB/f.u.
DFT total energy = -1.394 eV/atom
Symmetry = F-43m